(1)
LiTi2CrIr: relaxed, PBE.

Cell and atoms, written as POSCAR:
```
LiTi2CrIr
1.0
-2.055 3.560 2.248
0.068 -2.312 3.724
4.209 1.781 1.028
Ti Li Cr Ir
2 1 1 1
Cartesian
-1.027 1.780 1.124 Ti
2.105 0.890 0.514 Ti
0.034 -1.156 1.862 Li
1.111 1.514 3.500 Cr
0.000 0.000 0.000 Ir
```

Calculated values
Total moment = 0.005 μB per atom
Energy relative to the elements = 4.486 eV per formula unit
D(E_F) = 8.9 states/eV per cell

---

(2)
CaBiS2N: relaxed, PBE.

Cell and atoms, written as POSCAR:
```
CaBiS2N
1.0
5.275 0.000 0.000
0.000 5.275 0.000
0.000 0.000 4.369
S N Bi Ca
2 1 1 1
Cartesian
0.000 2.637 0.000 S
2.637 0.000 0.000 S
0.000 0.000 2.185 N
2.637 2.637 2.185 Bi
0.000 0.000 0.000 Ca
```

Calculated values
Raw formation energy = 2.17 eV/f.u.
Total moment = 0.424 μB per atom
D(E_F) = 1.2 states/eV per cell
Polymorph energy (0 for the lowest one) = 357.0 meV/atom

---

(3)
KBeSe2: relaxed, PBE.

Cell and atoms, written as POSCAR:
```
KBeSe2
1.0
-2.987 0.488 -5.031
4.186 -1.519 -3.826
-3.597 -1.771 4.289
Se K Be
2 1 1
Cartesian
1.102 -0.948 -8.142 Se
0.696 -0.599 -5.144 Se
0.595 -1.903 -1.983 K
-2.992 -0.900 -2.585 Be
```

Calculated values
Raw formation energy = -1.83 eV/f.u.
Total moment = 0.056 μB per atom
D(E_F) = 3.5 states/eV per cell

---

(4)
PmBeSi2Ir: relaxed, PBE.

Cell and atoms, written as POSCAR:
```
PmBeSi2Ir
1.0
3.960 0.000 0.000
0.000 3.960 0.000
-1.980 -1.980 5.183
Be Ir Si Pm
1 1 2 1
Cartesian
1.980 0.000 2.592 Be
0.000 1.980 2.592 Ir
0.000 0.000 3.944 Si
1.980 1.980 1.239 Si
0.000 0.000 0.000 Pm
```

Calculated values
Raw formation energy = -3.69 eV/f.u.
Total moment = 0.000 μB per atom
D(E_F) = 2.5 states/eV per cell

---

(5)
Y6Ag2C: relaxed, PBE.

Cell and atoms, written as POSCAR:
```
Y6Ag2C
1.0
-5.230 3.217 3.017
-4.227 -1.897 -5.305
-2.350 -8.142 4.784
Ag Y C
4 12 2
Cartesian
-4.493 -4.664 4.759 Ag
-7.314 -2.157 -2.263 Ag
-4.202 -7.087 0.718 Ag
-7.604 0.266 1.778 Ag
-3.527 -4.349 1.745 Y
-4.863 -1.649 -0.346 Y
-7.095 -8.266 1.314 Y
-7.193 0.787 -1.153 Y
-4.712 1.445 1.182 Y
-5.683 -1.762 3.231 Y
-8.280 -2.472 0.751 Y
-6.944 -5.173 2.842 Y
-1.163 -1.817 1.441 Y
-10.644 -5.005 1.055 Y
-6.123 -5.059 -0.735 Y
-4.614 -7.608 3.649 Y
-1.175 -4.071 2.392 C
-4.728 0.660 -1.144 C
```

Calculated values
Total moment = 0.000 μB per atom
Energy relative to the elements = -2.177 eV per formula unit
D(E_F) = 21.3 states/eV per cell

---

(6)
Pa2PbSe: relaxed, PBE.

Cell and atoms, written as POSCAR:
```
Pa2PbSe
1.0
-1.925 -2.418 -2.963
2.344 -2.422 -2.640
-0.203 -6.809 2.594
Pa Pb Se
2 1 1
Cartesian
0.150 -8.921 -2.099 Pa
0.066 -2.728 -0.911 Pa
0.108 -5.824 -1.505 Pb
0.000 0.000 0.000 Se
```

Calculated values
Raw formation energy = -1.90 eV/f.u.
Total moment = 0.001 μB per atom
D(E_F) = 7.6 states/eV per cell
Polymorph energy (0 for the lowest one) = 0.0 meV/atom